No. 1
{
  "formula": "Ba2Sn3Pb",
  "functional": "PBE-GGA",
  "state": "relaxed",
  "lattice": [[4.8882, 0.0000, 0.0000], [0.0000, 9.8110, 0.0000], [0.0000, 0.0000, 9.4178]],
  "species": ["Ba", "Ba", "Ba", "Ba", "Sn", "Sn", "Sn", "Sn", "Sn", "Sn", "Pb", "Pb"],
  "fractional_positions": [[0.0000, 0.2503, 0.0000], [0.0000, 0.7497, 0.0000], [0.5000, 0.2497, 0.5000], [0.5000, 0.7503, 0.5000], [0.0000, 0.0000, 0.3324], [0.0000, 0.5000, 0.3478], [0.0000, 0.5000, 0.6616], [0.5000, 0.0000, 0.1616], [0.5000, 0.0000, 0.8478], [0.5000, 0.5000, 0.8324], [0.0000, 0.0000, 0.6647], [0.5000, 0.5000, 0.1647]],
  "delta_e_f_ev_per_atom": -0.490,
  "total_magnetization_mub_per_fu": 0.000,
  "density_g_cm3": 6.2
}

No. 2
{
  "formula": "BaSn2Pb",
  "functional": "PBE-GGA",
  "state": "relaxed",
  "lattice": [[5.0343, 0.0000, 0.0000], [0.0000, 5.0343, 0.0000], [0.0000, 0.0000, 5.0570]],
  "species": ["Ba", "Sn", "Sn", "Pb"],
  "fractional_positions": [[0.0000, 0.0000, 0.0000], [0.0000, 0.5000, 0.5000], [0.5000, 0.0000, 0.5000], [0.5000, 0.5000, 0.0000]],
  "delta_e_f_ev_per_atom": -0.364,
  "total_magnetization_mub_per_fu": 0.000,
  "density_g_cm3": 7.5
}

No. 3
{
  "formula": "BaSnPb2",
  "functional": "PBE-GGA",
  "state": "relaxed",
  "lattice": [[5.3295, 0.0000, 0.0000], [-2.6648, 4.6155, 0.0000], [0.0000, 0.0000, 17.6255]],
  "species": ["Ba", "Ba", "Ba", "Sn", "Sn", "Sn", "Pb", "Pb", "Pb", "Pb", "Pb", "Pb"],
  "fractional_positions": [[0.0000, 0.0000, 0.0000], [0.3333, 0.6667, 0.6667], [0.6667, 0.3333, 0.3333], [0.0000, 0.0000, 0.5000], [0.3333, 0.6667, 0.1667], [0.6667, 0.3333, 0.8333], [0.0000, 0.0000, 0.2170], [0.0000, 0.0000, 0.7830], [0.3333, 0.6667, 0.4497], [0.3333, 0.6667, 0.8837], [0.6667, 0.3333, 0.1163], [0.6667, 0.3333, 0.5503]],
  "delta_e_f_ev_per_atom": -0.291,
  "total_magnetization_mub_per_fu": 0.000,
  "density_g_cm3": 7.7
}